This record from Alexandria via LeMat-Bulk describes a relaxed structure of La2HgI. The functional is GGA-PBE.

```
La2HgI
1.0
-4.858 2.802 3.553
-2.478 -6.010 1.351
1.004 -2.020 9.169
I La Hg
2 4 2
Direct
0.500 0.500 0.000 I
0.250 0.750 0.500 I
0.101 0.625 0.250 La
0.875 0.899 0.750 La
0.649 0.125 0.250 La
0.375 0.351 0.750 La
0.000 0.000 0.000 Hg
0.750 0.250 0.500 Hg
```

Summary:
The value obtained for the magnetization is 0.00 μB/cell. The calculation puts the formation energy without anion corrections at -0.254 eV/atom. The calculation puts the polymorph energy (0 for the lowest one) at 460 meV/atom.

This record from Alexandria via LeMat-Bulk describes a relaxed structure of LaHgI6. The functional is GGA-PBE.

```
LaHgI6
1.0
-0.562 2.519 7.137
-8.112 1.009 3.332
-2.081 -5.075 4.265
I Hg La
6 1 1
Direct
0.452 0.744 0.740 I
0.951 0.521 0.254 I
0.049 0.479 0.746 I
0.548 0.256 0.260 I
0.237 0.928 0.262 I
0.763 0.072 0.738 I
0.000 0.000 0.000 Hg
0.500 0.500 0.500 La
```

Summary:
The value obtained for the magnetization is 0.00 μB/cell. The calculation puts the formation energy without anion corrections at -0.713 eV/atom.

This record from Alexandria via LeMat-Bulk describes a relaxed structure of LaHgIO2. The functional is GGA-PBE.

```
LaHgIO2
1.0
4.513 0.000 0.000
0.000 4.513 0.000
0.000 0.000 5.528
O La Hg I
2 1 1 1
Direct
0.500 0.000 0.000 O
0.000 0.500 0.000 O
0.500 0.500 0.500 La
0.000 0.000 0.000 Hg
0.000 0.000 0.500 I
```

Summary:
The value obtained for the magnetization is 0.00 μB/cell. The calculation puts the formation energy without anion corrections at -0.452 eV/atom. The calculation puts the polymorph energy (0 for the lowest one) at 1323 meV/atom.

This record from Alexandria via LeMat-Bulk describes a relaxed structure of LaHgIO. The functional is GGA-PBE.

```
LaHgIO
1.0
-3.003 0.000 -2.959
2.804 -1.346 -2.846
-3.033 -12.831 3.078
O Hg La I
2 2 2 2
Direct
0.250 0.750 0.000 O
0.750 0.250 0.000 O
0.250 0.750 0.500 Hg
0.750 0.250 0.500 Hg
0.250 0.250 0.086 La
0.750 0.750 0.914 La
0.250 0.250 0.774 I
0.750 0.750 0.226 I
```

Summary:
The value obtained for the magnetization is 0.00 μB/cell. The calculation puts the formation energy without anion corrections at -2.064 eV/atom.

This record from Alexandria via LeMat-Bulk describes a relaxed structure of LaHgI2O. The functional is GGA-PBE.

```
LaHgI2O
1.0
6.593 0.000 0.000
0.000 6.593 0.000
0.000 0.000 4.303
O I Hg La
1 2 1 1
Direct
0.000 0.000 0.500 O
0.500 0.000 0.000 I
0.000 0.500 0.000 I
0.500 0.500 0.500 Hg
0.000 0.000 0.000 La
```

Summary:
The value obtained for the magnetization is 0.00 μB/cell. The calculation puts the formation energy without anion corrections at -1.310 eV/atom. The calculation puts the polymorph energy (0 for the lowest one) at 0 meV/atom.

This record from Alexandria via LeMat-Bulk describes a relaxed structure of LaHgI2O. The functional is GGA-PBE.

```
LaHgI2O
1.0
-0.210 5.667 -2.396
-1.662 -2.361 -5.437
-3.923 0.306 1.066
La I O Hg
1 2 1 1
Direct
0.500 0.500 0.500 La
0.500 0.000 0.000 I
0.000 0.500 0.000 I
0.000 0.000 0.500 O
0.000 0.000 0.000 Hg
```

Summary:
The value obtained for the magnetization is 0.32 μB/cell. The calculation puts the formation energy without anion corrections at -0.489 eV/atom. The calculation puts the polymorph energy (0 for the lowest one) at 821 meV/atom.

This record from Alexandria via LeMat-Bulk describes a relaxed structure of LaHgIO2. The functional is GGA-PBE.

```
LaHgIO2
1.0
3.955 0.000 0.000
0.000 6.864 0.055
0.000 -0.965 8.496
I Hg O La
2 2 4 2
Direct
0.250 0.753 0.941 I
0.750 0.247 0.059 I
0.750 0.620 0.663 Hg
0.250 0.380 0.337 Hg
0.250 0.090 0.399 O
0.250 0.682 0.341 O
0.750 0.318 0.659 O
0.750 0.910 0.601 O
0.250 0.124 0.683 La
0.750 0.876 0.317 La
```

Summary:
The value obtained for the magnetization is 0.00 μB/cell. The calculation puts the formation energy without anion corrections at -1.775 eV/atom. The calculation puts the polymorph energy (0 for the lowest one) at 0 meV/atom.

This record from Alexandria via LeMat-Bulk describes a relaxed structure of LaHgIO2. The functional is GGA-PBE.

```
LaHgIO2
1.0
4.457 0.000 0.000
0.000 4.457 0.000
0.000 0.000 7.165
I Hg La O
1 1 1 2
Direct
0.000 0.000 0.500 I
0.500 0.500 0.500 Hg
0.000 0.000 0.000 La
0.000 0.500 0.000 O
0.500 0.000 0.000 O
```

Summary:
The value obtained for the magnetization is 0.53 μB/cell. The calculation puts the formation energy without anion corrections at -1.294 eV/atom. The calculation puts the polymorph energy (0 for the lowest one) at 481 meV/atom.

This record from Alexandria via LeMat-Bulk describes a relaxed structure of LaHg2OsI. The functional is GGA-PBE.

```
LaHg2OsI
1.0
5.191 0.000 0.000
0.000 5.384 0.000
0.000 0.000 5.191
Hg La I Os
2 1 1 1
Direct
0.000 0.000 0.500 Hg
0.500 0.000 0.000 Hg
0.500 0.500 0.500 La
0.000 0.500 0.000 I
0.000 0.000 0.000 Os
```

Summary:
The value obtained for the magnetization is 0.00 μB/cell. The calculation puts the formation energy without anion corrections at 0.366 eV/atom.

This record from Alexandria via LeMat-Bulk describes a relaxed structure of La4HgPI2. The functional is GGA-PBE.

```
La4HgPI2
1.0
4.337 0.000 0.000
0.000 7.830 0.221
0.000 -2.660 7.693
I La Hg P
2 4 1 1
Direct
0.500 0.000 0.500 I
0.000 0.500 0.500 I
0.000 0.715 0.204 La
0.500 0.743 0.783 La
0.000 0.285 0.796 La
0.500 0.257 0.217 La
0.000 0.000 0.000 Hg
0.500 0.500 0.000 P
```

Summary:
The value obtained for the magnetization is 0.00 μB/cell. The calculation puts the formation energy without anion corrections at -1.066 eV/atom.

This record from Alexandria via LeMat-Bulk describes a relaxed structure of La6HgPd2I3. The functional is GGA-PBE.

```
La6HgPd2I3
1.0
7.601 0.025 0.003
-3.777 6.596 0.003
-1.272 -2.203 7.989
Pd Hg La I
2 1 6 3
Direct
0.331 0.669 0.000 Pd
0.669 0.331 0.000 Pd
0.000 0.000 0.000 Hg
0.713 0.713 0.203 La
0.929 0.576 0.788 La
0.071 0.424 0.212 La
0.287 0.287 0.797 La
0.576 0.929 0.788 La
0.424 0.071 0.212 La
0.500 0.500 0.500 I
0.158 0.842 0.500 I
0.842 0.158 0.500 I
```

Summary:
The value obtained for the magnetization is 0.00 μB/cell. The calculation puts the formation energy without anion corrections at -0.853 eV/atom.

This record from Alexandria via LeMat-Bulk describes a relaxed structure of LaPrHgI. The functional is GGA-PBE.

```
LaPrHgI
1.0
5.567 0.000 0.000
2.783 4.821 0.000
2.783 1.607 4.545
Hg Pr I La
1 1 1 1
Direct
0.500 0.500 0.500 Hg
0.250 0.250 0.250 Pr
0.000 0.000 0.000 I
0.750 0.750 0.750 La
```

Summary:
The value obtained for the magnetization is 0.00 μB/cell. The calculation puts the formation energy without anion corrections at -0.572 eV/atom. The calculation puts the polymorph energy (0 for the lowest one) at 108 meV/atom.